A plane-wave DFT calculation with PBE was carried out for crystalline AcPaCuO6 at its relaxed geometry.

* total moment: 0.79 Bohr magnetons per cell
* calculated volume: 131.2 Å³/cell
* energy relative to the elements, uncorrected: -2.188 eV per atom
* DFT total energy: -67.1 eV/f.u.

Cell and atoms, written as CIF:
```
data_AcPaCuO6
_chemical_formula_sum 'Ac1 Pa1 Cu1 O6'
_cell_length_a 5.5133
_cell_length_b 5.5133
_cell_length_c 4.9841
_cell_angle_alpha 90.00
_cell_angle_beta 90.00
_cell_angle_gamma 120.00
_space_group_name_H-M_alt 'P 3 1 2'
_space_group_IT_number 149
loop_
_space_group_symop_operation_xyz
'x,y,z'
'-y,x-y,z'
'-x+y,-x,z'
'-y,-x,-z'
'-x+y,y,-z'
'x,x-y,-z'
loop_
_atom_site_label
_atom_site_type_symbol
_atom_site_fract_x
_atom_site_fract_y
_atom_site_fract_z
Ac1 Ac 0.0000 0.0000 0.0000
Pa1 Pa 0.3333 0.6667 0.5000
Cu1 Cu 0.6667 0.3333 0.0000
O1 O 0.3946 0.0085 0.7565
```